1.
Here is an optimized crystal structure of Sn3OsPt from Alexandria via LeMat-Bulk. Energies are from PBE.

Computed properties:
- SG = No. 221
- formation energy from the elements (meV/atom) = 419.8
- VASP energy (eV per atom) = -5.436
- total magnetic moment (Bohr magnetons per cell) = 0.0

Cell: 5.0721 5.0721 5.0721 Å, 90.00 90.00 90.00°
Last column: nearest neighbours and their distance in Å.
Positions (direct):
Os 0.0000 0.0000 0.0000  6 Sn 2.54
Sn 0.0000 0.5000 0.0000  2 Os 2.54
Sn 0.0000 0.0000 0.5000  2 Os 2.54
Sn 0.5000 0.0000 0.0000  2 Os 2.54
Pt 0.5000 0.5000 0.5000  12 Sn 3.59

***

2.
Here is an optimized crystal structure of Sn2OsPtW from Alexandria via LeMat-Bulk. Energies are from PBE.

Computed properties:
- SG = No. 123
- formation energy from the elements (meV/atom) = 1784.0
- VASP energy (eV per atom) = -5.862
- total magnetic moment (Bohr magnetons per cell) = 1.3

Cell: 4.9516 4.9167 4.9516 Å, 90.00 90.00 90.00°
Last column: nearest neighbours and their distance in Å.
Positions (direct):
Os 0.5000 0.5000 0.5000  8 Sn 3.49, 4 W 3.50
W 0.0000 0.5000 0.0000  2 Pt 2.46
Pt 0.0000 0.0000 0.0000  2 W 2.46, 4 Sn 2.48
Sn 0.0000 0.0000 0.5000  2 Pt 2.48
Sn 0.5000 0.0000 0.0000  2 Pt 2.48

***

3.
Here is an optimized crystal structure of Sr2OsPt from Alexandria via LeMat-Bulk. Energies are from PBE.

Computed properties:
- SG = No. 44
- formation energy from the elements (meV/atom) = 100.8
- VASP energy (eV per atom) = -5.058
- total magnetic moment (Bohr magnetons per cell) = 0.0

Cell: 5.9325 5.9325 5.9325 Å, 135.57 128.62 70.23°
Last column: nearest neighbours and their distance in Å.
Positions (direct):
Os 0.4141 0.4141 0.0000  2 Pt 2.40
Pt 0.3249 0.8249 0.5000  2 Os 2.40
Sr 0.0244 0.0244 0.0000  2 Pt 3.22, 4 Sr 3.29-3.58, 4 Os 3.58
Sr 0.7366 0.2366 0.5000  2 Os 3.10, 2 Sr 3.29

***

4.
Here is an optimized crystal structure of Sr2OsPt from Alexandria via LeMat-Bulk. Energies are from PBE.

Computed properties:
- SG = No. 166
- formation energy from the elements (meV/atom) = 579.4
- VASP energy (eV per atom) = -4.579
- total magnetic moment (Bohr magnetons per cell) = 0.0

Cell: 9.3709 9.3709 9.3709 Å, 21.55 21.55 21.55°
Last column: nearest neighbours and their distance in Å.
Positions (direct):
Os 0.2500 0.2500 0.2500  6 Sr 3.05
Pt 0.7500 0.7500 0.7500  6 Sr 3.06
Sr 0.9998 0.9998 0.9998  3 Os 3.05, 3 Pt 3.06
Sr 0.5002 0.5002 0.5002  3 Os 3.05, 3 Pt 3.06

***

5.
Here is an optimized crystal structure of SrOs3Pt from Alexandria via LeMat-Bulk. Energies are from PBE.

Computed properties:
- SG = No. 221
- formation energy from the elements (meV/atom) = 3754.3
- VASP energy (eV per atom) = -4.528
- total magnetic moment (Bohr magnetons per cell) = 2.4

Cell: 4.7395 4.7395 4.7395 Å, 90.00 90.00 90.00°
Last column: nearest neighbours and their distance in Å.
Positions (direct):
Sr 0.0000 0.0000 0.0000  6 Os 2.37
Os 0.0000 0.5000 0.0000  2 Sr 2.37
Os 0.0000 0.0000 0.5000  2 Sr 2.37
Os 0.5000 0.0000 0.0000  2 Sr 2.37
Pt 0.5000 0.5000 0.5000  12 Os 3.35

***

6.
Here is an optimized crystal structure of Sr2OsPt from Alexandria via LeMat-Bulk. Energies are from PBE.

Computed properties:
- SG = No. 99
- formation energy from the elements (meV/atom) = 248.3
- VASP energy (eV per atom) = -4.910
- total magnetic moment (Bohr magnetons per cell) = 0.6

Cell: 3.6076 3.6076 8.8204 Å, 90.00 90.00 90.00°
Last column: nearest neighbours and their distance in Å.
Positions (direct):
Os 0.0000 0.0000 0.5873  4 Pt 2.65, 1 Sr 2.88
Pt 0.5000 0.5000 0.6671  4 Os 2.65, 1 Sr 2.96
Sr 0.0000 0.0000 0.9138  1 Os 2.88
Sr 0.5000 0.5000 0.3317  1 Pt 2.96